TlGaSe2 GGA-PBE relaxed; calculated density = 7.18 g cm⁻³; DFT total energy = -14.1 eV per formula unit; energy above the lowest structure with this stoichiometry = 0.157 eV/atom; magnetization = 0.00 μB per cell
1.0
3.876 -0.001 0.000
1.937 3.357 0.000
1.937 1.118 7.683
Se Ga Tl
2 1 1
direct
0.062 0.062 0.815
0.271 0.271 0.187
0.667 0.667 0.999
0.500 0.500 0.500